This record from Alexandria via LeMat-Bulk describes SrZrFe after structural relaxation. The functional is PBE.

```
SrZrFe
1.0
6.6918 0.0000 0.0000
0.0000 6.6918 0.0000
0.0000 0.0000 6.6918
Sr Zr Fe
4 4 4
Direct
0.0000 0.0000 0.0000
0.0000 0.5000 0.5000
0.5000 0.0000 0.5000
0.5000 0.5000 0.0000
0.0000 0.0000 0.5000
0.0000 0.5000 0.0000
0.5000 0.0000 0.0000
0.5000 0.5000 0.5000
0.2500 0.2500 0.2500
0.2500 0.7500 0.7500
0.7500 0.2500 0.7500
0.7500 0.7500 0.2500
```

* ΔE to the lowest computed polymorph: 0.4331 eV per atom
* size of the total moment: 0.79 μB per cell
* uncorrected energy: -65.7 eV/cell
* symmetry: F-43m (216)
* N(E_F): 9.49 states/eV per cell
* calculated volume: 25.0 Å³ per atom
* formation enthalpy at 0 K: 0.759 eV per atom


This record from Alexandria via LeMat-Bulk describes SrZrFe after structural relaxation. The functional is PBE.

```
SrZrFe
1.0
3.6355 0.0000 0.0000
-1.8178 3.1485 0.0000
0.0000 0.0000 6.8263
Sr Zr Fe
1 1 1
Direct
0.0000 0.0000 0.0000
0.3333 0.6667 0.4839
0.6667 0.3333 0.6841
```

* ΔE to the lowest computed polymorph: 0.2132 eV per atom
* size of the total moment: 0.42 μB per cell
* uncorrected energy: -17.1 eV/cell
* symmetry: P3m1 (156)
* N(E_F): 3.12 states/eV per cell
* calculated volume: 26.0 Å³ per atom
* formation enthalpy at 0 K: 0.539 eV per atom


This record from Alexandria via LeMat-Bulk describes SrZrFe2 after structural relaxation. The functional is PBE.

```
SrZrFe2
1.0
4.7407 0.0000 0.0000
0.0000 4.7407 0.0000
0.0000 0.0000 16.9021
Sr Zr Fe
4 4 8
Direct
0.0000 0.2500 0.3750
0.0000 0.7500 0.6250
0.5000 0.2500 0.1250
0.5000 0.7500 0.8750
0.0000 0.2500 0.8750
0.0000 0.7500 0.1250
0.5000 0.2500 0.6250
0.5000 0.7500 0.3750
0.0000 0.0000 0.0000
0.0000 0.5000 0.0000
0.2500 0.2500 0.7500
0.2500 0.7500 0.2500
0.5000 0.0000 0.5000
0.5000 0.5000 0.5000
0.7500 0.2500 0.7500
0.7500 0.7500 0.2500
```

* ΔE to the lowest computed polymorph: 0.6380 eV per atom
* size of the total moment: 0.03 μB per cell
* uncorrected energy: -94.9 eV/cell
* symmetry: I4_1/amd (141)
* N(E_F): 22.51 states/eV per cell
* calculated volume: 23.7 Å³ per atom
* formation enthalpy at 0 K: 0.859 eV per atom


This record from Alexandria via LeMat-Bulk describes SrZrFe4 after structural relaxation. The functional is PBE.

```
SrZrFe4
1.0
0.0000 3.6390 3.6390
3.6390 0.0000 3.6390
3.6390 3.6390 0.0000
Sr Zr Fe
1 1 4
Direct
0.0000 0.0000 0.0000
0.7500 0.7500 0.7500
0.3756 0.3756 0.3756
0.3756 0.3756 0.8733
0.3756 0.8733 0.3756
0.8733 0.3756 0.3756
```

* size of the total moment: 6.97 μB per cell
* uncorrected energy: -42.6 eV/cell
* symmetry: F-43m (216)
* N(E_F): 8.45 states/eV per cell
* calculated volume: 16.1 Å³ per atom
* formation enthalpy at 0 K: 0.251 eV per atom


This record from Alexandria via LeMat-Bulk describes SrZrFe2 after structural relaxation. The functional is PBE.

```
SrZrFe2
1.0
6.6375 0.0000 0.0000
0.0000 6.6375 0.0000
0.0000 0.0000 6.6375
Sr Zr Fe
4 4 8
Direct
0.0000 0.0000 0.0000
0.0000 0.5000 0.5000
0.5000 0.0000 0.5000
0.5000 0.5000 0.0000
0.0000 0.0000 0.5000
0.0000 0.5000 0.0000
0.5000 0.0000 0.0000
0.5000 0.5000 0.5000
0.2500 0.2500 0.2500
0.2500 0.2500 0.7500
0.2500 0.7500 0.2500
0.2500 0.7500 0.7500
0.7500 0.2500 0.2500
0.7500 0.2500 0.7500
0.7500 0.7500 0.2500
0.7500 0.7500 0.7500
```

* ΔE to the lowest computed polymorph: 0.5215 eV per atom
* size of the total moment: 0.00 μB per cell
* uncorrected energy: -96.7 eV/cell
* symmetry: Fm-3m (225)
* N(E_F): 37.04 states/eV per cell
* calculated volume: 18.3 Å³ per atom
* formation enthalpy at 0 K: 0.742 eV per atom


This record from Alexandria via LeMat-Bulk describes SrZrFe after structural relaxation. The functional is PBE.

```
SrZrFe
1.0
4.0996 0.0000 0.0000
-2.0498 3.5503 0.0000
0.0000 0.0000 5.4341
Sr Zr Fe
1 1 1
Direct
0.0000 0.0000 0.0000
0.6667 0.3333 0.5000
0.3333 0.6667 0.5000
```

* ΔE to the lowest computed polymorph: 0.2414 eV per atom
* size of the total moment: 0.00 μB per cell
* uncorrected energy: -17.0 eV/cell
* symmetry: P-6m2 (187)
* N(E_F): 3.28 states/eV per cell
* calculated volume: 26.4 Å³ per atom
* formation enthalpy at 0 K: 0.567 eV per atom